No. 1
Density functional theory data (GGA-PBE) for crystalline ReHBrCl2 at its relaxed geometry.

Crystal system = tetragonal
E_tot = -2.969 eV per atom
Spin magnetization = 4.81 μB/cell
Symmetry = P4/mmm

Unit cell a=5.8020 b=5.8020 c=3.3082 alpha=90.00 beta=90.00 gamma=90.00
Closest atoms and distances in Å follow each position.
Atoms (fractional coordinates):
Re 0.0000 0.0000 0.0000  2 Re 3.31, 8 Cl 3.34
H 0.5000 0.5000 0.0000  2 Br 1.65
Br 0.5000 0.5000 0.5000  2 H 1.65
Cl 0.0000 0.5000 0.5000  2 Br 2.90
Cl 0.5000 0.0000 0.5000  2 Br 2.90

---

No. 2
Density functional theory data (GGA-PBE) for crystalline HS2BrCl at its relaxed geometry.

Crystal system = tetragonal
E_tot = -2.390 eV per atom
Spin magnetization = 0.00 μB/cell
Symmetry = P4/mmm

Unit cell a=3.7338 b=3.7338 c=8.2886 alpha=90.00 beta=90.00 gamma=90.00
Closest atoms and distances in Å follow each position.
Atoms (fractional coordinates):
H 0.0000 0.0000 0.0000  4 S 1.87
S 0.0000 0.5000 0.0000  2 H 1.87
S 0.5000 0.0000 0.0000  2 H 1.87
Br 0.5000 0.5000 0.5000  4 Cl 2.64
Cl 0.0000 0.0000 0.5000  4 Br 2.64

---

No. 3
Density functional theory data (GGA-PBE) for crystalline HS2BrCl at its relaxed geometry.

Crystal system = tetragonal
E_tot = -1.712 eV per atom
Spin magnetization = 1.76 μB/cell
Symmetry = P4/mmm

Unit cell a=4.8895 b=4.8895 c=5.4229 alpha=90.00 beta=90.00 gamma=90.00
Closest atoms and distances in Å follow each position.
Atoms (fractional coordinates):
H 0.0000 0.0000 0.0000  4 Cl 3.46, 8 S 3.65
S 0.0000 0.5000 0.5000  2 Br 2.44
S 0.5000 0.0000 0.5000  2 Br 2.44
Br 0.5000 0.5000 0.5000  4 S 2.44, 2 Cl 2.71
Cl 0.5000 0.5000 0.0000  2 Br 2.71